No. 1
A plane-wave DFT calculation with meta-GGA SCAN was carried out for a PBEsol-optimized structure of AlPtO2.

Lattice parameters (Å, degrees): 6.200 6.200 6.200 26.33 26.33 26.33
Fractional coordinates of all 4 atoms:
Al1 0.000 0.000 0.000
Pt1 0.500 0.500 0.500
O1 0.387 0.387 0.387
O2 0.613 0.613 0.613

Calculated values
Formation energy (no corrections) in eV/f.u.: -9.0
Electronic total energy in eV per atom: -24.854

***

No. 2
A plane-wave DFT calculation with meta-GGA SCAN was carried out for a PBEsol-optimized structure of LaV3O9.

Lattice parameters (Å, degrees): 4.946 9.455 7.410 90.00 99.99 90.00
Fractional coordinates of all 26 atoms:
La1 0.078 0.250 0.001
La2 0.922 0.750 0.999
V1 0.264 0.750 0.653
V2 0.440 0.572 0.301
V3 0.440 0.928 0.301
V4 0.560 0.072 0.699
V5 0.560 0.428 0.699
V6 0.736 0.250 0.347
O1 0.068 0.250 0.349
O2 0.217 0.011 0.144
O3 0.217 0.489 0.144
O4 0.277 0.750 0.278
O5 0.286 0.112 0.785
O6 0.286 0.388 0.785
O7 0.386 0.591 0.561
O8 0.386 0.750 0.878
O9 0.386 0.909 0.561
O10 0.614 0.091 0.439
O11 0.614 0.250 0.122
O12 0.614 0.409 0.439
O13 0.714 0.612 0.215
O14 0.714 0.888 0.215
O15 0.723 0.250 0.722
O16 0.783 0.511 0.856
O17 0.783 0.989 0.856
O18 0.932 0.750 0.651

Calculated values
Formation energy (no corrections) in eV/f.u.: -37.1
Electronic total energy in eV per atom: -14.520

***

No. 3
A plane-wave DFT calculation with meta-GGA SCAN was carried out for a PBEsol-optimized structure of BeNbSi2P.

Lattice parameters (Å, degrees): 4.782 4.782 4.466 90.00 90.00 90.00
Fractional coordinates of all 5 atoms:
Be1 0.000 0.000 0.000
Nb1 0.000 0.000 0.500
Si1 0.000 0.500 0.500
Si2 0.500 0.000 0.500
P1 0.500 0.500 0.000

Calculated values
Formation energy (no corrections) in eV/f.u.: 7.3
Electronic total energy in eV per atom: -12.130

***

No. 4
A plane-wave DFT calculation with meta-GGA SCAN was carried out for a PBEsol-optimized structure of ReIr3.

Lattice parameters (Å, degrees): 3.836 3.836 3.836 90.00 90.00 90.00
Fractional coordinates of all 4 atoms:
Re1 0.000 0.000 0.000
Ir1 0.000 0.500 0.500
Ir2 0.500 0.000 0.500
Ir3 0.500 0.500 0.000

Calculated values
Formation enthalpy at 0 K in eV per atom: -0.12
ΔE to the lowest computed polymorph in eV/atom: 0.040
Electronic total energy in eV per atom: -71.215

***

No. 5
A plane-wave DFT calculation with meta-GGA SCAN was carried out for a PBEsol-optimized structure of KTaIn2.

Lattice parameters (Å, degrees): 2.992 2.992 10.257 90.00 90.00 90.00
Fractional coordinates of all 4 atoms:
K1 0.000 0.000 0.000
Ta1 0.000 0.000 0.500
In1 0.500 0.500 0.283
In2 0.500 0.500 0.717

Calculated values
Formation enthalpy at 0 K in eV per atom: 0.15
ΔE to the lowest computed polymorph in eV/atom: 0.000
Electronic total energy in eV per atom: -35.276

***

No. 6
A plane-wave DFT calculation with meta-GGA SCAN was carried out for a PBEsol-optimized structure of LaSb4Pb.

Lattice parameters (Å, degrees): 6.217 6.217 6.217 60.00 60.00 60.00
Fractional coordinates of all 6 atoms:
La1 0.000 0.000 0.000
Sb1 0.375 0.375 0.375
Sb2 0.375 0.375 0.875
Sb3 0.375 0.875 0.375
Sb4 0.875 0.375 0.375
Pb1 0.750 0.750 0.750

Calculated values
Formation energy (no corrections) in eV/f.u.: -1.4
Electronic total energy in eV per atom: -44.885

***

No. 7
A plane-wave DFT calculation with meta-GGA SCAN was carried out for a PBEsol-optimized structure of ScCoF3.

Lattice parameters (Å, degrees): 4.113 4.113 4.113 90.00 90.00 90.00
Fractional coordinates of all 5 atoms:
Sc1 0.000 0.000 0.000
Co1 0.500 0.500 0.500
F1 0.000 0.000 0.500
F2 0.000 0.500 0.000
F3 0.500 0.000 0.000

Calculated values
Formation energy (no corrections) in eV/f.u.: -12.2
Electronic total energy in eV per atom: -10.878

***

No. 8
A plane-wave DFT calculation with meta-GGA SCAN was carried out for a PBEsol-optimized structure of LiMnNbO4.

Lattice parameters (Å, degrees): 6.074 6.074 8.612 90.00 90.00 90.00
Fractional coordinates of all 28 atoms:
Li1 0.000 0.234 0.000
Li2 0.000 0.766 0.500
Li3 0.234 0.000 0.250
Li4 0.766 0.000 0.750
Mn1 0.238 0.500 0.250
Mn2 0.500 0.238 0.000
Mn3 0.500 0.762 0.500
Mn4 0.762 0.500 0.750
Nb1 0.250 0.250 0.625
Nb2 0.250 0.750 0.875
Nb3 0.750 0.250 0.375
Nb4 0.750 0.750 0.125
O1 0.002 0.253 0.250
O2 0.002 0.747 0.250
O3 0.253 0.002 0.000
O4 0.253 0.998 0.500
O5 0.254 0.495 0.003
O6 0.254 0.505 0.497
O7 0.495 0.254 0.247
O8 0.495 0.746 0.253
O9 0.505 0.254 0.753
O10 0.505 0.746 0.747
O11 0.746 0.495 0.997
O12 0.746 0.505 0.503
O13 0.747 0.002 0.000
O14 0.747 0.998 0.500
O15 0.998 0.253 0.750
O16 0.998 0.747 0.750

Calculated values
Formation energy (no corrections) in eV/f.u.: -17.3
ΔE to the lowest computed polymorph in eV/atom: 0.000
Electronic total energy in eV per atom: -13.714